Density functional theory data (PBE-GGA) for KAcMgS3 after structural relaxation.

The density of states at the Fermi level is 0.000 states/eV/f.u. The electronic total energy is -29.22 eV/f.u. The size of the total moment is 0.0 μB/cell. For the energy relative to the elements, uncorrected, the calculation gives -1.673 eV/atom.

The space group is P2_1/m (No. 11) and the conventional cell measures 9.039, 4.369 and 10.043 Å, with angles of 90.00, 101.49 and 90.00 degrees. Symmetry generates all atoms from K at (0.170, 0.250, 0.184), Ac at (0.344, 0.750, 0.842), Mg at (0.080, 0.250, 0.601), S at (0.117, 0.250, 0.846), S at (0.181, 0.750, 0.534) and S at (0.431, 0.750, 0.142).



Density functional theory data (PBE-GGA) for KAc2MgSe4 after structural relaxation.

The density of states at the Fermi level is 1.875 states/eV/f.u. The electronic total energy is -37.88 eV/f.u. The size of the total moment is 0.0 μB/cell. For the energy relative to the elements, uncorrected, the calculation gives -1.630 eV/atom.

The space group is Cmcm (No. 63) and the conventional cell measures 4.379, 15.405 and 15.592 Å, with angles of 90.00, 90.00 and 90.00 degrees. Symmetry generates all atoms from K at (0.000, 0.108, 0.250), Ac at (0.000, 0.370, 0.052), Mg at (0.000, 0.167, 0.750), Se at (0.000, 0.000, 0.000), Se at (0.000, 0.268, 0.619) and Se at (0.000, 0.428, 0.250).